# PBE-GGA Al2FePb, optimized geometry
data_Al2FePb
_chemical_formula_sum 'Al2 Fe1 Pb1'
_space_group_name_H-M_alt 'P 1'
_space_group_IT_number 1
_cell_length_a 3.3010
_cell_length_b 3.3010
_cell_length_c 6.7762
_cell_angle_alpha 90.00
_cell_angle_beta 90.00
_cell_angle_gamma 90.00
loop_
_space_group_symop_operation_xyz
'x,y,z'
loop_
_atom_site_label
_atom_site_type_symbol
_atom_site_fract_x
_atom_site_fract_y
_atom_site_fract_z
Al1 Al 0.0000 0.0000 0.0000
Al2 Al 0.5000 0.5000 0.2321
Fe1 Fe 0.0000 0.0000 0.3632
Pb1 Pb 0.5000 0.5000 0.6684
# E_tot   -4.68 eV/atom

---

# PBE-GGA Al4FePb, optimized geometry
data_Al4FePb
_chemical_formula_sum 'Al4 Fe1 Pb1'
_space_group_name_H-M_alt 'P 1'
_space_group_IT_number 1
_cell_length_a 5.3903
_cell_length_b 5.3903
_cell_length_c 5.3903
_cell_angle_alpha 60.00
_cell_angle_beta 60.00
_cell_angle_gamma 60.00
loop_
_space_group_symop_operation_xyz
'x,y,z'
loop_
_atom_site_label
_atom_site_type_symbol
_atom_site_fract_x
_atom_site_fract_y
_atom_site_fract_z
Al1 Al 0.1238 0.1238 0.1238
Al2 Al 0.1238 0.1238 0.6286
Al3 Al 0.1238 0.6286 0.1238
Al4 Al 0.6286 0.1238 0.1238
Fe1 Fe 0.7500 0.7500 0.7500
Pb1 Pb 0.5000 0.5000 0.5000
# E_tot   -4.19 eV/atom

---

# PBE-GGA Al2FePb, optimized geometry
data_Al2FePb
_chemical_formula_sum 'Al2 Fe1 Pb1'
_space_group_name_H-M_alt 'P 1'
_space_group_IT_number 1
_cell_length_a 4.5356
_cell_length_b 4.5356
_cell_length_c 6.6418
_cell_angle_alpha 109.40
_cell_angle_beta 109.40
_cell_angle_gamma 38.37
loop_
_space_group_symop_operation_xyz
'x,y,z'
loop_
_atom_site_label
_atom_site_type_symbol
_atom_site_fract_x
_atom_site_fract_y
_atom_site_fract_z
Al1 Al 0.0000 0.0000 0.0000
Al2 Al 0.1985 0.1985 0.7333
Fe1 Fe 0.4687 0.4687 0.7078
Pb1 Pb 0.8645 0.8645 0.3418
# E_tot   -4.72 eV/atom

---

# PBE-GGA Al2FePb, optimized geometry
data_Al2FePb
_chemical_formula_sum 'Al2 Fe1 Pb1'
_space_group_name_H-M_alt 'P 1'
_space_group_IT_number 1
_cell_length_a 3.9981
_cell_length_b 3.9981
_cell_length_c 4.6290
_cell_angle_alpha 90.00
_cell_angle_beta 90.00
_cell_angle_gamma 90.00
loop_
_space_group_symop_operation_xyz
'x,y,z'
loop_
_atom_site_label
_atom_site_type_symbol
_atom_site_fract_x
_atom_site_fract_y
_atom_site_fract_z
Al1 Al 0.0000 0.5000 0.0000
Al2 Al 0.5000 0.0000 0.0000
Fe1 Fe 0.0000 0.0000 0.5000
Pb1 Pb 0.5000 0.5000 0.5000
# E_tot   -4.48 eV/atom

---

# PBE-GGA AlFePb, optimized geometry
data_AlFePb
_chemical_formula_sum 'Al1 Fe1 Pb1'
_space_group_name_H-M_alt 'P 1'
_space_group_IT_number 1
_cell_length_a 3.1939
_cell_length_b 3.1939
_cell_length_c 6.4367
_cell_angle_alpha 90.00
_cell_angle_beta 90.00
_cell_angle_gamma 120.00
loop_
_space_group_symop_operation_xyz
'x,y,z'
loop_
_atom_site_label
_atom_site_type_symbol
_atom_site_fract_x
_atom_site_fract_y
_atom_site_fract_z
Al1 Al 0.0000 0.0000 0.0000
Fe1 Fe 0.3333 0.6667 0.2573
Pb1 Pb 0.6667 0.3333 0.5870
# Polymorph energy (0 for the lowest one)   0.066 eV/atom
# E_tot   -4.92 eV/atom

---

# PBE-GGA Al2FePb, optimized geometry
data_Al2FePb
_chemical_formula_sum 'Al2 Fe1 Pb1'
_space_group_name_H-M_alt 'P 1'
_space_group_IT_number 1
_cell_length_a 4.5335
_cell_length_b 4.5335
_cell_length_c 5.6940
_cell_angle_alpha 102.95
_cell_angle_beta 102.95
_cell_angle_gamma 42.55
loop_
_space_group_symop_operation_xyz
'x,y,z'
loop_
_atom_site_label
_atom_site_type_symbol
_atom_site_fract_x
_atom_site_fract_y
_atom_site_fract_z
Al1 Al 0.2249 0.2249 0.1674
Al2 Al 0.7751 0.7751 0.8326
Fe1 Fe 0.5000 0.5000 0.0000
Pb1 Pb 0.0000 0.0000 0.5000
# E_tot   -4.65 eV/atom

---

# PBE-GGA AlFe2Pb2, optimized geometry
data_AlFe2Pb2
_chemical_formula_sum 'Al1 Fe2 Pb2'
_space_group_name_H-M_alt 'P 1'
_space_group_IT_number 1
_cell_length_a 9.0903
_cell_length_b 9.0903
_cell_length_c 9.0903
_cell_angle_alpha 158.20
_cell_angle_beta 158.20
_cell_angle_gamma 31.02
loop_
_space_group_symop_operation_xyz
'x,y,z'
loop_
_atom_site_label
_atom_site_type_symbol
_atom_site_fract_x
_atom_site_fract_y
_atom_site_fract_z
Al1 Al 0.0000 0.0000 0.0000
Fe1 Fe 0.2500 0.7500 0.5000
Fe2 Fe 0.7500 0.2500 0.5000
Pb1 Pb 0.3816 0.3816 0.0000
Pb2 Pb 0.6184 0.6184 0.0000
# E_tot   -5.15 eV/atom

---

# PBE-GGA Al2FePb, optimized geometry
data_Al2FePb
_chemical_formula_sum 'Al4 Fe2 Pb2'
_space_group_name_H-M_alt 'P 1'
_space_group_IT_number 1
_cell_length_a 9.2517
_cell_length_b 9.2517
_cell_length_c 9.2517
_cell_angle_alpha 152.84
_cell_angle_beta 152.84
_cell_angle_gamma 38.78
loop_
_space_group_symop_operation_xyz
'x,y,z'
loop_
_atom_site_label
_atom_site_type_symbol
_atom_site_fract_x
_atom_site_fract_y
_atom_site_fract_z
Al1 Al 0.0434 0.6250 0.9184
Al2 Al 0.3750 0.2934 0.4184
Al3 Al 0.7066 0.1250 0.0816
Al4 Al 0.8750 0.9566 0.5816
Fe1 Fe 0.0000 0.0000 0.0000
Fe2 Fe 0.7500 0.2500 0.5000
Pb1 Pb 0.2500 0.7500 0.5000
Pb2 Pb 0.5000 0.5000 0.0000
# E_tot   -4.50 eV/atom

---

# PBE-GGA AlFePb, optimized geometry
data_AlFePb
_chemical_formula_sum 'Al1 Fe1 Pb1'
_space_group_name_H-M_alt 'P 1'
_space_group_IT_number 1
_cell_length_a 4.2646
_cell_length_b 4.2646
_cell_length_c 3.6599
_cell_angle_alpha 90.00
_cell_angle_beta 90.00
_cell_angle_gamma 120.00
loop_
_space_group_symop_operation_xyz
'x,y,z'
loop_
_atom_site_label
_atom_site_type_symbol
_atom_site_fract_x
_atom_site_fract_y
_atom_site_fract_z
Al1 Al 0.0000 0.0000 0.0000
Fe1 Fe 0.6667 0.3333 0.0000
Pb1 Pb 0.3333 0.6667 0.5000
# Polymorph energy (0 for the lowest one)   0.119 eV/atom
# E_tot   -4.87 eV/atom

---

# PBE-GGA AlFe3Pb, optimized geometry
data_AlFe3Pb
_chemical_formula_sum 'Al1 Fe3 Pb1'
_space_group_name_H-M_alt 'P 1'
_space_group_IT_number 1
_cell_length_a 4.9116
_cell_length_b 4.9116
_cell_length_c 4.9116
_cell_angle_alpha 90.00
_cell_angle_beta 90.00
_cell_angle_gamma 90.00
loop_
_space_group_symop_operation_xyz
'x,y,z'
loop_
_atom_site_label
_atom_site_type_symbol
_atom_site_fract_x
_atom_site_fract_y
_atom_site_fract_z
Al1 Al 0.0000 0.0000 0.0000
Fe1 Fe 0.0000 0.5000 0.5000
Fe2 Fe 0.5000 0.0000 0.5000
Fe3 Fe 0.5000 0.5000 0.0000
Pb1 Pb 0.5000 0.5000 0.5000
# Polymorph energy (0 for the lowest one)   0.733 eV/atom
# E_tot   -4.95 eV/atom

---

# PBE-GGA Al2FePb, optimized geometry
data_Al2FePb
_chemical_formula_sum 'Al2 Fe1 Pb1'
_space_group_name_H-M_alt 'P 1'
_space_group_IT_number 1
_cell_length_a 3.1875
_cell_length_b 4.6410
_cell_length_c 5.0619
_cell_angle_alpha 90.00
_cell_angle_beta 90.00
_cell_angle_gamma 90.00
loop_
_space_group_symop_operation_xyz
'x,y,z'
loop_
_atom_site_label
_atom_site_type_symbol
_atom_site_fract_x
_atom_site_fract_y
_atom_site_fract_z
Al1 Al 0.0000 0.0000 0.0000
Al2 Al 0.5000 0.5000 0.0000
Fe1 Fe 0.0000 0.5000 0.5000
Pb1 Pb 0.5000 0.0000 0.5000
# E_tot   -4.45 eV/atom

---

# PBE-GGA Al2Fe2Pb, optimized geometry
data_Al2Fe2Pb
_chemical_formula_sum 'Al4 Fe4 Pb2'
_space_group_name_H-M_alt 'P 1'
_space_group_IT_number 1
_cell_length_a 6.9121
_cell_length_b 6.9121
_cell_length_c 3.2418
_cell_angle_alpha 90.00
_cell_angle_beta 90.00
_cell_angle_gamma 90.00
loop_
_space_group_symop_operation_xyz
'x,y,z'
loop_
_atom_site_label
_atom_site_type_symbol
_atom_site_fract_x
_atom_site_fract_y
_atom_site_fract_z
Al1 Al 0.1387 0.3613 0.0000
Al2 Al 0.3613 0.8613 0.0000
Al3 Al 0.6387 0.1387 0.0000
Al4 Al 0.8613 0.6387 0.0000
Fe1 Fe 0.1475 0.6475 0.5000
Fe2 Fe 0.3525 0.1475 0.5000
Fe3 Fe 0.6475 0.8525 0.5000
Fe4 Fe 0.8525 0.3525 0.5000
Pb1 Pb 0.0000 0.0000 0.5000
Pb2 Pb 0.5000 0.5000 0.5000
# E_tot   -5.47 eV/atom

---

Number 1: formation enthalpy at 0 K 0.232 eV/atom, total magnetization 1.31 μB/f.u., DOS(E_F) 3.566 states/eV per cell. Number 2: formation enthalpy at 0 K 0.332 eV/atom, total magnetization 2.78 μB/f.u., DOS(E_F) 2.446 states/eV per cell. Number 3: formation enthalpy at 0 K 0.195 eV/atom, total magnetization 0.00 μB/f.u., DOS(E_F) 3.685 states/eV per cell. Number 4: formation enthalpy at 0 K 0.435 eV/atom, total magnetization 2.51 μB/f.u., DOS(E_F) 4.256 states/eV per cell. Number 5: formation enthalpy at 0 K 0.380 eV/atom, total magnetization 1.70 μB/f.u., DOS(E_F) 3.354 states/eV per cell. Number 6: formation enthalpy at 0 K 0.261 eV/atom, total magnetization 1.99 μB/f.u., DOS(E_F) 3.268 states/eV per cell. Number 7: formation enthalpy at 0 K 0.462 eV/atom, total magnetization 4.73 μB/f.u., DOS(E_F) 3.462 states/eV per cell. Number 8: formation enthalpy at 0 K 0.416 eV/atom, total magnetization 2.27 μB/f.u., DOS(E_F) 6.296 states/eV per cell. Number 9: formation enthalpy at 0 K 0.433 eV/atom, total magnetization 1.89 μB/f.u., DOS(E_F) 2.490 states/eV per cell. Number 10: formation enthalpy at 0 K 1.615 eV/atom, total magnetization 8.88 μB/f.u., DOS(E_F) 8.444 states/eV per cell. Number 11: formation enthalpy at 0 K 0.469 eV/atom, total magnetization 2.45 μB/f.u., DOS(E_F) 3.524 states/eV per cell. Number 12: formation enthalpy at 0 K 0.154 eV/atom, total magnetization 2.56 μB/f.u., DOS(E_F) 7.935 states/eV per cell.